DFT (PBE+U) results for VTe2O after structural relaxation.

POSCAR file:
```
VTe2O
1.0
2.198 1.269 6.533
-2.198 1.269 6.533
0.000 -2.538 6.533
V Te O
1 2 1
Direct
0.000 0.000 0.000
0.399 0.399 0.399
0.601 0.601 0.601
0.500 0.500 0.500
```

## Properties
N(E_F): 1.269 states/eV per cell
Uncorrected energy: -0.3485 Ry per atom